{
  "formula": "NiPIO2",
  "functional": "GGA+U",
  "state": "relaxed",
  "lattice": [[-3.105, 2.339, -0.633], [-2.057, -2.001, 2.698], [1.794, 3.445, 3.923]],
  "species": ["I", "O", "O", "P", "Ni"],
  "frac_coords": [[0.000, 0.000, 0.000], [0.500, 0.000, 0.000], [0.000, 0.500, 0.000], [0.000, 0.000, 0.500], [0.500, 0.500, 0.500]],
  "e_tot_ev_per_atom": -3.3978,
  "sg": "No. 123"
}